Record 1
The following is a GGA-PBE calculation of a geometry-optimized Ti2ZnF8 structure, from Alexandria.

Values from the calculation:
The uncorrected formation energy is -2916 meV per atom.

a b c (Å): 10.0071 5.6336 5.0581
angles (deg): 90.00 99.56 90.00
Space group C2/m (No. 12)
Inequivalent atoms, fractional coordinates:
Ti 0.2392 0.0000 0.4967 [4 per cell]
Zn 0.0000 0.5000 0.0000 [2 per cell]
F 0.1209 0.0000 0.7267 [4 per cell]
F 0.1333 0.2708 0.2652 [8 per cell]
F 0.1331 0.5000 0.7530 [4 per cell]

Record 2
The following is a GGA-PBE calculation of a geometry-optimized TiZn3F structure, from Alexandria.

Values from the calculation:
The value obtained for the excess energy over the best structure of this formula in the dataset is 675 meV per atom. The uncorrected formation energy is 535 meV per atom.

a b c (Å): 5.2190 5.2190 5.2190
angles (deg): 90.00 90.00 90.00
Space group Pm-3m (No. 221)
Inequivalent atoms, fractional coordinates:
Ti 0.0000 0.0000 0.0000 [1 per cell]
Zn 0.0000 0.0000 0.5000 [3 per cell]
F 0.5000 0.5000 0.5000 [1 per cell]

Record 3
The following is a GGA-PBE calculation of a geometry-optimized ZrTi2F structure, from Alexandria.

Values from the calculation:
The value obtained for the excess energy over the best structure of this formula in the dataset is 0 meV per atom. The uncorrected formation energy is -583 meV per atom.

a b c (Å): 7.2696 7.2696 4.9511
angles (deg): 90.00 90.00 90.00
Space group I-42d (No. 122)
Inequivalent atoms, fractional coordinates:
Zr 0.0000 0.0000 0.0000 [4 per cell]
Ti 0.1512 0.2500 0.6250 [8 per cell]
F 0.0000 0.0000 0.5000 [4 per cell]

Record 4
The following is a GGA-PBE calculation of a geometry-optimized Zr3TiF structure, from Alexandria.

Values from the calculation:
The value obtained for the excess energy over the best structure of this formula in the dataset is 1248 meV per atom. The uncorrected formation energy is 700 meV per atom.

a b c (Å): 4.9955 4.9955 4.9955
angles (deg): 90.00 90.00 90.00
Space group Pm-3m (No. 221)
Inequivalent atoms, fractional coordinates:
Zr 0.0000 0.0000 0.5000 [3 per cell]
Ti 0.0000 0.0000 0.0000 [1 per cell]
F 0.5000 0.5000 0.5000 [1 per cell]

Record 5
The following is a GGA-PBE calculation of a geometry-optimized Zr2TiF structure, from Alexandria.

Values from the calculation:
The value obtained for the excess energy over the best structure of this formula in the dataset is 574 meV per atom. The uncorrected formation energy is 21 meV per atom.

a b c (Å): 6.7210 6.7210 6.7210
angles (deg): 90.00 90.00 90.00
Space group Fm-3m (No. 225)
Inequivalent atoms, fractional coordinates:
Zr 0.2500 0.2500 0.2500 [8 per cell]
Ti 0.0000 0.0000 0.0000 [4 per cell]
F 0.0000 0.0000 0.5000 [4 per cell]

Record 6
The following is a GGA-PBE calculation of a geometry-optimized Zr2TiF structure, from Alexandria.

Values from the calculation:
The value obtained for the excess energy over the best structure of this formula in the dataset is 0 meV per atom. The uncorrected formation energy is -553 meV per atom.

a b c (Å): 6.9881 6.9881 6.1957
angles (deg): 90.00 90.00 90.00
Space group I-42d (No. 122)
Inequivalent atoms, fractional coordinates:
Zr 0.1687 0.7500 0.1250 [8 per cell]
Ti 0.0000 0.0000 0.5000 [4 per cell]
F 0.0000 0.0000 0.0000 [4 per cell]

Record 7
The following is a GGA-PBE calculation of a geometry-optimized Zr3TiF structure, from Alexandria.

Values from the calculation:
The value obtained for the excess energy over the best structure of this formula in the dataset is 0 meV per atom. The uncorrected formation energy is -549 meV per atom.

a b c (Å): 4.5609 4.5609 4.5609
angles (deg): 90.00 90.00 90.00
Space group Pm-3m (No. 221)
Inequivalent atoms, fractional coordinates:
Zr 0.0000 0.0000 0.5000 [3 per cell]
Ti 0.5000 0.5000 0.5000 [1 per cell]
F 0.0000 0.0000 0.0000 [1 per cell]

Record 8
The following is a GGA-PBE calculation of a geometry-optimized ZrTi2F structure, from Alexandria.

Values from the calculation:
The value obtained for the excess energy over the best structure of this formula in the dataset is 739 meV per atom. The uncorrected formation energy is 156 meV per atom.

a b c (Å): 6.4860 6.4860 6.4860
angles (deg): 90.00 90.00 90.00
Space group Fm-3m (No. 225)
Inequivalent atoms, fractional coordinates:
Zr 0.0000 0.0000 0.0000 [4 per cell]
Ti 0.2500 0.2500 0.2500 [8 per cell]
F 0.0000 0.0000 0.5000 [4 per cell]

Record 9
The following is a GGA-PBE calculation of a geometry-optimized Tl5F6 structure, from Alexandria.

Values from the calculation:
The uncorrected formation energy is -1714 meV per atom.

a b c (Å): 7.1047 11.4307 6.8313
angles (deg): 90.00 106.70 90.00
Space group C2/m (No. 12)
Inequivalent atoms, fractional coordinates:
Tl 0.0000 0.0000 0.0000 [2 per cell]
Tl 0.0000 0.1754 0.5000 [4 per cell]
Tl 0.0000 0.3442 0.0000 [4 per cell]
F 0.1662 0.0000 0.7307 [4 per cell]
F 0.1935 0.1635 0.1919 [8 per cell]

Record 10
The following is a GGA-PBE calculation of a geometry-optimized TlF2 structure, from Alexandria.

Values from the calculation:
The uncorrected formation energy is -1787 meV per atom.

a b c (Å): 6.2948 6.2948 5.5427
angles (deg): 90.00 90.00 120.00
Space group P-31m (No. 162)
Inequivalent atoms, fractional coordinates:
Tl 0.0000 0.0000 0.0000 [1 per cell]
Tl 0.3333 0.6667 0.5000 [2 per cell]
F 0.0000 0.3757 0.2879 [6 per cell]

Record 11
The following is a GGA-PBE calculation of a geometry-optimized TmTlF4 structure, from Alexandria.

Values from the calculation:
The value obtained for the excess energy over the best structure of this formula in the dataset is 0 meV per atom. The uncorrected formation energy is -3397 meV per atom.

a b c (Å): 4.3345 17.5196 6.4785
angles (deg): 90.00 90.00 90.00
Space group Cmcm (No. 63)
Inequivalent atoms, fractional coordinates:
Tm 0.0000 0.0829 0.2500 [4 per cell]
Tl 0.0000 0.3096 0.2500 [4 per cell]
F 0.0000 0.0000 0.0000 [4 per cell]
F 0.0000 0.1724 0.0288 [8 per cell]
F 0.0000 0.4206 0.7500 [4 per cell]

Record 12
The following is a GGA-PBE calculation of a geometry-optimized TmTlF4 structure, from Alexandria.

Values from the calculation:
The value obtained for the excess energy over the best structure of this formula in the dataset is 51 meV per atom. The uncorrected formation energy is -3346 meV per atom.

a b c (Å): 3.8204 3.8204 6.6921
angles (deg): 90.00 90.00 90.00
Space group P4/mmm (No. 123)
Inequivalent atoms, fractional coordinates:
Tm 0.0000 0.0000 0.0000 [1 per cell]
Tl 0.5000 0.5000 0.5000 [1 per cell]
F 0.0000 0.5000 0.1860 [4 per cell]

Record 13
The following is a GGA-PBE calculation of a geometry-optimized TmTl2F4 structure, from Alexandria.

Values from the calculation:
The uncorrected formation energy is -2788 meV per atom.

a b c (Å): 4.3647 4.3647 16.9205
angles (deg): 90.00 90.00 90.00
Space group I4/mmm (No. 139)
Inequivalent atoms, fractional coordinates:
Tm 0.0000 0.0000 0.0000 [2 per cell]
Tl 0.0000 0.0000 0.2736 [4 per cell]
F 0.0000 0.0000 0.1256 [4 per cell]
F 0.0000 0.5000 0.0000 [4 per cell]

Record 14
The following is a GGA-PBE calculation of a geometry-optimized Tm2Tl3F9 structure, from Alexandria.

Values from the calculation:
The uncorrected formation energy is -3080 meV per atom.

a b c (Å): 11.1870 11.1870 14.6740
angles (deg): 90.00 90.00 120.00
Space group R-3c (No. 167, hexagonal axes)
Inequivalent atoms, fractional coordinates:
Tm 0.0000 0.0000 0.1386 [12 per cell]
Tl 0.0000 0.3267 0.2500 [18 per cell]
F 0.0000 0.1369 0.7500 [18 per cell]
F 0.0192 0.1804 0.4163 [36 per cell]

Record 15
The following is a GGA-PBE calculation of a geometry-optimized TmTl2F6 structure, from Alexandria.

Values from the calculation:
The uncorrected formation energy is -2752 meV per atom.

a b c (Å): 4.9556 6.2176 6.2192
angles (deg): 60.06 90.00 89.95
Space group P-1 (No. 2)
Inequivalent atoms, fractional coordinates:
Tm 0.0000 0.0000 0.0000 [1 per cell]
Tl 0.4981 0.6668 0.6664 [2 per cell]
F 0.2383 0.0017 0.2898 [2 per cell]
F 0.2378 0.2899 0.7089 [2 per cell]
F 0.2383 0.7084 0.0013 [2 per cell]

Record 16
The following is a GGA-PBE calculation of a geometry-optimized TmTl2F11 structure, from Alexandria.

Values from the calculation:
The uncorrected formation energy is -2115 meV per atom.

a b c (Å): 8.2877 10.2525 10.8558
angles (deg): 90.00 90.00 90.00
Space group Ibam (No. 72)
Inequivalent atoms, fractional coordinates:
Tm 0.0000 0.0000 0.2500 [4 per cell]
Tl 0.1676 0.3079 0.0000 [8 per cell]
F 0.0000 0.5000 0.0000 [4 per cell]
F 0.1009 0.1712 0.1478 [16 per cell]
F 0.1043 0.3113 0.5000 [8 per cell]
F 0.2047 0.0704 0.3662 [16 per cell]

Record 17
The following is a GGA-PBE calculation of a geometry-optimized TmTl2F8 structure, from Alexandria.

Values from the calculation:
The value obtained for the excess energy over the best structure of this formula in the dataset is 0 meV per atom. The uncorrected formation energy is -2594 meV per atom.

a b c (Å): 10.0579 7.5313 4.6780
angles (deg): 90.00 107.10 90.00
Space group C2/m (No. 12)
Inequivalent atoms, fractional coordinates:
Tm 0.0000 0.0000 0.0000 [2 per cell]
Tl 0.1601 0.5000 0.3600 [4 per cell]
F 0.0849 0.5000 0.7933 [4 per cell]
F 0.1317 0.0000 0.7188 [4 per cell]
F 0.1439 0.1985 0.2480 [8 per cell]

Record 18
The following is a GGA-PBE calculation of a geometry-optimized TmTl2F8 structure, from Alexandria.

Values from the calculation:
The value obtained for the excess energy over the best structure of this formula in the dataset is 54 meV per atom. The uncorrected formation energy is -2540 meV per atom.

a b c (Å): 7.0262 7.0262 4.5120
angles (deg): 90.00 90.00 120.00
Space group P-3m1 (No. 164)
Inequivalent atoms, fractional coordinates:
Tm 0.0000 0.0000 0.0000 [1 per cell]
Tl 0.3333 0.6667 0.7367 [2 per cell]
F 0.1503 0.3005 0.7491 [6 per cell]
F 0.3333 0.6667 0.2394 [2 per cell]

Record 19
The following is a GGA-PBE calculation of a geometry-optimized Tm2Tl5F12 structure, from Alexandria.

Values from the calculation:
The uncorrected formation energy is -2746 meV per atom.

a b c (Å): 14.5207 7.9920 6.3424
angles (deg): 90.00 97.17 90.00
Space group C2/m (No. 12)
Inequivalent atoms, fractional coordinates:
Tm 0.0000 0.2396 0.0000 [4 per cell]
Tl 0.0000 0.5000 0.5000 [2 per cell]
Tl 0.1410 0.0000 0.4947 [4 per cell]
Tl 0.2249 0.5000 0.9950 [4 per cell]
F 0.0159 0.0000 0.8079 [4 per cell]
F 0.0601 0.5000 0.1549 [4 per cell]
F 0.0852 0.3056 0.7409 [8 per cell]
F 0.1385 0.1973 0.1690 [8 per cell]

Record 20
The following is a GGA-PBE calculation of a geometry-optimized TmTlF6 structure, from Alexandria.

Values from the calculation:
The uncorrected formation energy is -2971 meV per atom.

a b c (Å): 5.5321 5.5321 10.3830
angles (deg): 90.00 90.00 120.00
Space group P-31c (No. 163)
Inequivalent atoms, fractional coordinates:
Tm 0.3333 0.6667 0.2500 [2 per cell]
Tl 0.0000 0.0000 0.0000 [2 per cell]
F 0.0425 0.3379 0.1258 [12 per cell]

Record 21
The following is a GGA-PBE calculation of a geometry-optimized TmTl2Zn3F12 structure, from Alexandria.

Values from the calculation:
The uncorrected formation energy is -2490 meV per atom.

a b c (Å): 7.4308 7.4308 19.0281
angles (deg): 90.00 90.00 120.00
Space group R-3m (No. 166, hexagonal axes)
Inequivalent atoms, fractional coordinates:
Tm 0.0000 0.0000 0.0000 [3 per cell]
Tl 0.0000 0.0000 0.3788 [6 per cell]
Zn 0.0000 0.5000 0.5000 [9 per cell]
F 0.0471 0.5235 0.6084 [18 per cell]
F 0.0725 0.5362 0.8461 [18 per cell]